(1)
Density functional theory data (GGA-PBE) for a relaxed structure of TaFeTc2.

Lattice parameters (Å, degrees): 3.1756 4.3866 8.5023 90.00 90.00 90.00
With the nearest neighbours (Å) after each atom.
Space group Cmm2 (No. 35)
Unique sites:
1 Ta 0.0000 0.0000 0.0000  2 Fe 2.65, 4 Ta 2.71, 2 Tc 2.75
2 Fe 0.0000 0.5000 0.2489  2 Tc 2.54, 2 Ta 2.65, 4 Fe 2.71
3 Tc 0.0000 0.0000 0.4819  2 Fe 2.54, 6 Tc 2.68-2.71
4 Tc 0.0000 0.5000 0.7355  6 Tc 2.68-2.71, 2 Ta 2.75

Summary:
crystal system	orthorhombic
calculated density	12.1	Mg/m³
formation enthalpy at 0 K	0.099	eV/atom

***

(2)
Density functional theory data (GGA-PBE) for a relaxed structure of TaFeTc2.

Lattice parameters (Å, degrees): 5.3614 8.7466 2.7144 90.00 110.99 90.00
With the nearest neighbours (Å) after each atom.
Space group C2/m (No. 12)
Unique sites:
1 Ta 0.0000 0.0000 0.0000  4 Tc 2.67, 2 Fe 2.68, 2 Ta 2.71
2 Fe 0.0000 0.5000 0.0000  4 Tc 2.67, 2 Ta 2.68, 2 Fe 2.71
3 Tc 0.2500 0.2500 0.5000  2 Ta 2.67, 2 Fe 2.67, 4 Tc 2.68-2.71

Summary:
crystal system	monoclinic
calculated density	12.1	Mg/m³
formation enthalpy at 0 K	0.003	eV/atom

***

(3)
Density functional theory data (GGA-PBE) for a relaxed structure of Ta2FeTc.

Lattice parameters (Å, degrees): 3.0069 3.0069 24.3491 90.00 90.00 120.00
With the nearest neighbours (Å) after each atom.
Space group R-3m (No. 166, hexagonal axes)
Unique sites:
1 Ta 0.0000 0.0000 0.2464  3 Fe 2.60, 3 Tc 2.74
2 Fe 0.0000 0.0000 0.5000  6 Ta 2.60
3 Tc 0.0000 0.0000 0.0000  6 Ta 2.74, 6 Tc 3.01

Summary:
crystal system	trigonal
calculated density	13.5	Mg/m³
formation enthalpy at 0 K	0.110	eV/atom

***

(4)
Density functional theory data (GGA-PBE) for a relaxed structure of TaFeTc.

Lattice parameters (Å, degrees): 3.1510 3.1510 9.0352 90.00 90.00 90.00
With the nearest neighbours (Å) after each atom.
Space group I4mm (No. 107)
Unique sites:
1 Ta 0.0000 0.0000 0.0000  5 Tc 2.70-3.00, 5 Fe 2.71-2.98
2 Fe 0.0000 0.0000 0.3301  4 Tc 2.67, 5 Ta 2.71-2.98
3 Tc 0.0000 0.0000 0.6681  4 Fe 2.67, 4 Ta 2.70

Summary:
crystal system	tetragonal
calculated density	12.4	Mg/m³
formation enthalpy at 0 K	-0.073	eV/atom

***

(5)
Density functional theory data (GGA-PBE) for a relaxed structure of TaFeTc2.

Lattice parameters (Å, degrees): 3.8591 3.8591 3.9470 90.00 90.00 90.00
With the nearest neighbours (Å) after each atom.
Space group P4/mmm (No. 123)
Unique sites:
1 Ta 0.0000 0.0000 0.0000  4 Fe 2.73, 8 Tc 2.76
2 Fe 0.5000 0.5000 0.0000  4 Ta 2.73, 8 Tc 2.76
3 Tc 0.0000 0.5000 0.5000  4 Tc 2.73, 4 Ta 2.76, 4 Fe 2.76

Summary:
crystal system	tetragonal
calculated density	12.2	Mg/m³
formation enthalpy at 0 K	0.006	eV/atom

***

(6)
Density functional theory data (GGA-PBE) for a relaxed structure of Ta2FeTc.

Lattice parameters (Å, degrees): 3.2357 4.5547 8.4838 90.00 90.00 90.00
With the nearest neighbours (Å) after each atom.
Space group Immm (No. 71)
Unique sites:
1 Ta 0.0000 0.0000 0.2487  2 Fe 2.66, 2 Tc 2.68, 4 Ta 2.79
2 Fe 0.0000 0.5000 0.5000  4 Ta 2.66, 4 Tc 2.79
3 Tc 0.0000 0.5000 0.0000  4 Ta 2.68, 4 Fe 2.79

Summary:
crystal system	orthorhombic
calculated density	13.7	Mg/m³
formation enthalpy at 0 K	-0.070	eV/atom

***

(7)
Density functional theory data (GGA-PBE) for a relaxed structure of Ta2FeTc.

Lattice parameters (Å, degrees): 6.9209 6.9209 5.5006 90.00 90.00 90.00
With the nearest neighbours (Å) after each atom.
Space group I-42d (No. 122)
Unique sites:
1 Ta 0.2373 0.2500 0.1250  2 Fe 2.48, 2 Tc 2.60, 2 Ta 2.76
2 Fe 0.0000 0.0000 0.0000  4 Ta 2.48, 2 Tc 2.75
3 Tc 0.0000 0.0000 0.5000  4 Ta 2.60, 2 Fe 2.75

Summary:
crystal system	tetragonal
calculated density	13.0	Mg/m³
formation enthalpy at 0 K	0.500	eV/atom

***

(8)
Density functional theory data (GGA-PBE) for a relaxed structure of Ta2FeTc.

Lattice parameters (Å, degrees): 3.1502 3.1502 6.1863 90.00 90.00 90.00
With the nearest neighbours (Å) after each atom.
Space group P4/mmm (No. 123)
Unique sites:
1 Ta 0.0000 0.0000 0.2435  4 Fe 2.69, 4 Tc 2.73
2 Fe 0.5000 0.5000 0.0000  8 Ta 2.69
3 Tc 0.5000 0.5000 0.5000  8 Ta 2.73

Summary:
crystal system	tetragonal
calculated density	13.9	Mg/m³
formation enthalpy at 0 K	-0.303	eV/atom

***

Copy entry 8 word for word.
Density functional theory data (GGA-PBE) for a relaxed structure of Ta2FeTc.

Lattice parameters (Å, degrees): 3.1502 3.1502 6.1863 90.00 90.00 90.00
With the nearest neighbours (Å) after each atom.
Space group P4/mmm (No. 123)
Unique sites:
1 Ta 0.0000 0.0000 0.2435  4 Fe 2.69, 4 Tc 2.73
2 Fe 0.5000 0.5000 0.0000  8 Ta 2.69
3 Tc 0.5000 0.5000 0.5000  8 Ta 2.73

Summary:
crystal system	tetragonal
calculated density	13.9	Mg/m³
formation enthalpy at 0 K	-0.303	eV/atom